The following is a DFT calculation (PBE-GGA) of an optimized crystal structure of GaNi3Pd.

The structure in extended XYZ format:
```
5
Lattice="4.289 0.000 0.000 0.000 4.289 0.000 0.000 0.000 4.289" Properties=species:S:1:pos:R:3 pbc="T T T"
Ni 2.145 0.000 0.000
Ni 0.000 2.145 0.000
Ni 0.000 0.000 2.145
Ga 0.000 0.000 0.000
Pd 2.145 2.145 2.145
```

Computed properties:
Its crystal system is cubic. The value obtained for the energy above the most stable polymorph in this dataset is 0.000 kcal/mol of atoms.

The following is a DFT calculation (PBE-GGA) of an optimized crystal structure of LiCeErSc.

The structure in extended XYZ format:
```
4
Lattice="-2.233 -4.195 2.394 2.202 -4.820 -0.479 2.390 -2.260 4.182" Properties=species:S:1:pos:R:3 pbc="T T T"
Sc 0.590 -2.819 1.524
Li 1.770 -8.456 4.572
Er 0.000 0.000 0.000
Ce 1.180 -5.638 3.048
```

Computed properties:
Its crystal system is cubic.

The following is a DFT calculation (PBE-GGA) of an optimized crystal structure of LaPmCuIr.

The structure in extended XYZ format:
```
4
Lattice="-0.853 -3.820 -0.678 3.918 -1.223 1.962 -2.006 1.624 5.017" Properties=species:S:1:pos:R:3 pbc="T T T"
La -0.685 -0.081 1.317
Pm -0.241 -2.730 4.052
Cu 1.180 -2.563 1.319
Ir -2.055 -0.242 3.953
```

Computed properties:
Its crystal system is orthorhombic. The value obtained for the energy above the most stable polymorph in this dataset is 0.000 kcal/mol of atoms.

Calculated DFT formation energy (eV per atom), listed in the same order as above: 0.7534 0.2148 -0.4822
Calculated size of the total moment (μB per formula unit), listed in the same order as above: 0.8 1.3 0.0